Computed, not measured: ReW2O8 after structural relaxation at the GGA+U level of DFT.

a = 5.809 Å, b = 5.095 Å, c = 10.613 Å
α = 61.93°, β = 90.00°, γ = 90.00°
Site moments in Bohr magnetons follow the coordinates.
Sites, in units of the cell vectors:
1 Re 0.356 0.000 0.250  1.97
2 O 0.113 0.974 0.109  0.02
3 W 0.165 0.265 0.501  0.31
4 O 0.893 0.455 0.111  0.01
5 O 0.346 0.438 0.137  0.01
6 W 0.165 0.735 0.999  0.31
7 O 0.107 0.455 0.611  0.01
8 O 0.893 0.545 0.389  0.01
9 Re 0.644 0.000 0.750  1.97
10 O 0.113 0.026 0.391  0.02
11 O 0.399 0.980 0.882  0.01
12 O 0.601 0.980 0.382  0.01
13 O 0.399 0.020 0.618  0.01
14 O 0.887 0.974 0.609  0.02
15 W 0.835 0.735 0.499  0.31
16 O 0.601 0.020 0.118  0.01
17 W 0.835 0.265 0.001  0.31
18 O 0.346 0.562 0.363  0.01
19 O 0.654 0.438 0.637  0.01
20 O 0.107 0.545 0.889  0.01
21 O 0.887 0.026 0.891  0.02
22 O 0.654 0.562 0.863  0.01

Output
SG = No. 13
E above lowest polymorph = 8.6 meV/atom
E = -7.716 eV/atom